<a>
MgC after structural relaxation, computed with GGA-PBE.

Structure (CIF):
```
data_MgC
_cell_length_a 3.1241
_cell_length_b 3.1241
_cell_length_c 2.8989
_cell_angle_alpha 90.00
_cell_angle_beta 90.00
_cell_angle_gamma 90.00
_space_group_name_H-M_alt 'P 4/m m m'
_space_group_IT_number 123
_space_group_name_Hall '-P 4 2'
loop_
_atom_site_label
_atom_site_type_symbol
_atom_site_fract_x
_atom_site_fract_y
_atom_site_fract_z
_atom_site_occupancy
Mg1 Mg 0.0000 0.0000 0.0000 1
C1 C 0.5000 0.5000 0.0000 1
```

<b>
MgC after structural relaxation, computed with GGA-PBE.

Structure (CIF):
```
data_MgC
_cell_length_a 5.5644
_cell_length_b 5.5644
_cell_length_c 8.3646
_cell_angle_alpha 90.00
_cell_angle_beta 90.00
_cell_angle_gamma 120.00
_space_group_name_H-M_alt 'R -3 m'
_space_group_IT_number 166
_space_group_name_Hall '-R 3 2"'
loop_
_atom_site_label
_atom_site_type_symbol
_atom_site_fract_x
_atom_site_fract_y
_atom_site_fract_z
_atom_site_occupancy
Mg1 Mg 0.0000 0.0000 0.1727 1
C1 C 0.0000 0.0000 0.4247 1
```

Which is the most stable structure? <b> is the most stable.

<a>
MgC2 after structural relaxation, computed with GGA-PBE.

Structure (CIF):
```
data_MgC2
_cell_length_a 5.5893
_cell_length_b 5.5893
_cell_length_c 4.8051
_cell_angle_alpha 90.00
_cell_angle_beta 90.00
_cell_angle_gamma 120.00
_space_group_name_H-M_alt 'P -3 1 m'
_space_group_IT_number 162
_space_group_name_Hall '-P 3 2'
loop_
_atom_site_label
_atom_site_type_symbol
_atom_site_fract_x
_atom_site_fract_y
_atom_site_fract_z
_atom_site_occupancy
Mg1 Mg 0.0000 0.0000 0.0000 1
Mg2 Mg 0.3333 0.6667 0.5000 1
C1 C 0.0000 0.2260 0.4125 1
```

<b>
MgC2 after structural relaxation, computed with GGA-PBE.

Structure (CIF):
```
data_MgC2
_cell_length_a 4.9855
_cell_length_b 4.9855
_cell_length_c 6.0380
_cell_angle_alpha 90.00
_cell_angle_beta 90.00
_cell_angle_gamma 90.00
_space_group_name_H-M_alt 'I 4/m c m'
_space_group_IT_number 140
_space_group_name_Hall '-I 4 2c'
loop_
_atom_site_label
_atom_site_type_symbol
_atom_site_fract_x
_atom_site_fract_y
_atom_site_fract_z
_atom_site_occupancy
Mg1 Mg 0.0000 0.0000 0.2500 1
C1 C 0.0895 0.4105 0.0000 1
```

Which is the most stable structure? <a> is the most stable.

<a>
MgC4 after structural relaxation, computed with GGA-PBE.

Structure (CIF):
```
data_MgC4
_cell_length_a 4.6824
_cell_length_b 4.6824
_cell_length_c 4.6824
_cell_angle_alpha 90.00
_cell_angle_beta 90.00
_cell_angle_gamma 90.00
_space_group_name_H-M_alt 'I m -3 m'
_space_group_IT_number 229
_space_group_name_Hall '-I 4 2 3'
loop_
_atom_site_label
_atom_site_type_symbol
_atom_site_fract_x
_atom_site_fract_y
_atom_site_fract_z
_atom_site_occupancy
Mg1 Mg 0.0000 0.0000 0.0000 1
C1 C 0.2500 0.2500 0.2500 1
```

<b>
MgC4 after structural relaxation, computed with GGA-PBE.

Structure (CIF):
```
data_MgC4
_cell_length_a 3.2647
_cell_length_b 3.2647
_cell_length_c 7.6129
_cell_angle_alpha 90.00
_cell_angle_beta 90.00
_cell_angle_gamma 90.00
_space_group_name_H-M_alt 'I 4/m m m'
_space_group_IT_number 139
_space_group_name_Hall '-I 4 2'
loop_
_atom_site_label
_atom_site_type_symbol
_atom_site_fract_x
_atom_site_fract_y
_atom_site_fract_z
_atom_site_occupancy
Mg1 Mg 0.0000 0.0000 0.0000 1
C1 C 0.0000 0.0000 0.3055 1
C2 C 0.0000 0.5000 0.2500 1
```

<c>
MgC4 after structural relaxation, computed with GGA-PBE.

Structure (CIF):
```
data_MgC4
_cell_length_a 5.7179
_cell_length_b 5.7179
_cell_length_c 4.4050
_cell_angle_alpha 90.00
_cell_angle_beta 90.00
_cell_angle_gamma 90.00
_space_group_name_H-M_alt 'I 4/m m m'
_space_group_IT_number 139
_space_group_name_Hall '-I 4 2'
loop_
_atom_site_label
_atom_site_type_symbol
_atom_site_fract_x
_atom_site_fract_y
_atom_site_fract_z
_atom_site_occupancy
Mg1 Mg 0.0000 0.0000 0.0000 1
C1 C 0.0000 0.3864 0.0000 1
```

Which is the most stable structure? <c> is the most stable.

<a>
Mg3C4 after structural relaxation, computed with GGA-PBE.

Structure (CIF):
```
data_Mg3C4
_cell_length_a 6.2214
_cell_length_b 6.2214
_cell_length_c 2.6628
_cell_angle_alpha 90.00
_cell_angle_beta 90.00
_cell_angle_gamma 120.00
_space_group_name_H-M_alt 'P 6/m m m'
_space_group_IT_number 191
_space_group_name_Hall '-P 6 2'
loop_
_atom_site_label
_atom_site_type_symbol
_atom_site_fract_x
_atom_site_fract_y
_atom_site_fract_z
_atom_site_occupancy
Mg1 Mg 0.0000 0.5000 0.0000 1
C1 C 0.0000 0.0000 0.2477 1
C2 C 0.3333 0.6667 0.5000 1
```

<b>
Mg3C4 after structural relaxation, computed with GGA-PBE.

Structure (CIF):
```
data_Mg3C4
_cell_length_a 4.3864
_cell_length_b 4.3864
_cell_length_c 4.3864
_cell_angle_alpha 90.00
_cell_angle_beta 90.00
_cell_angle_gamma 90.00
_space_group_name_H-M_alt 'P -4 3 m'
_space_group_IT_number 215
_space_group_name_Hall 'P -4 2 3'
loop_
_atom_site_label
_atom_site_type_symbol
_atom_site_fract_x
_atom_site_fract_y
_atom_site_fract_z
_atom_site_occupancy
Mg1 Mg 0.0000 0.0000 0.5000 1
C1 C 0.3746 0.3746 0.3746 1
```

<c>
Mg3C4 after structural relaxation, computed with GGA-PBE.

Structure (CIF):
```
data_Mg3C4
_cell_length_a 2.6142
_cell_length_b 2.6142
_cell_length_c 20.7558
_cell_angle_alpha 90.00
_cell_angle_beta 90.00
_cell_angle_gamma 90.00
_space_group_name_H-M_alt 'I 4/m m m'
_space_group_IT_number 139
_space_group_name_Hall '-I 4 2'
loop_
_atom_site_label
_atom_site_type_symbol
_atom_site_fract_x
_atom_site_fract_y
_atom_site_fract_z
_atom_site_occupancy
Mg1 Mg 0.0000 0.0000 0.0000 1
Mg2 Mg 0.0000 0.0000 0.3133 1
C1 C 0.0000 0.0000 0.1080 1
C2 C 0.0000 0.0000 0.4192 1
```

<d>
Mg3C4 after structural relaxation, computed with GGA-PBE.

Structure (CIF):
```
data_Mg3C4
_cell_length_a 4.5360
_cell_length_b 4.5360
_cell_length_c 4.5360
_cell_angle_alpha 90.00
_cell_angle_beta 90.00
_cell_angle_gamma 90.00
_space_group_name_H-M_alt 'P m -3 m'
_space_group_IT_number 221
_space_group_name_Hall '-P 4 2 3'
loop_
_atom_site_label
_atom_site_type_symbol
_atom_site_fract_x
_atom_site_fract_y
_atom_site_fract_z
_atom_site_occupancy
Mg1 Mg 0.0000 0.0000 0.5000 1
C1 C 0.0000 0.0000 0.0000 1
C2 C 0.0000 0.5000 0.5000 1
```

Which is the most stable structure? <a> is the most stable.

<a>
Mg2C3 after structural relaxation, computed with GGA-PBE.

Structure (CIF):
```
data_Mg2C3
_cell_length_a 10.1203
_cell_length_b 14.0476
_cell_length_c 3.5599
_cell_angle_alpha 90.00
_cell_angle_beta 90.00
_cell_angle_gamma 90.00
_space_group_name_H-M_alt 'F d d 2'
_space_group_IT_number 43
_space_group_name_Hall 'F 2 -2d'
loop_
_atom_site_label
_atom_site_type_symbol
_atom_site_fract_x
_atom_site_fract_y
_atom_site_fract_z
_atom_site_occupancy
Mg1 Mg 0.0108 0.1690 0.0000 1
C1 C 0.0000 0.0000 0.2441 1
C2 C 0.1151 0.4541 0.7377 1
```

<b>
Mg2C3 after structural relaxation, computed with GGA-PBE.

Structure (CIF):
```
data_Mg2C3
_cell_length_a 3.8076
_cell_length_b 3.8076
_cell_length_c 4.5616
_cell_angle_alpha 90.00
_cell_angle_beta 90.00
_cell_angle_gamma 120.00
_space_group_name_H-M_alt 'P -3 m 1'
_space_group_IT_number 164
_space_group_name_Hall '-P 3 2"'
loop_
_atom_site_label
_atom_site_type_symbol
_atom_site_fract_x
_atom_site_fract_y
_atom_site_fract_z
_atom_site_occupancy
Mg1 Mg 0.3333 0.6667 0.2541 1
C1 C 0.0000 0.0000 0.5000 1
C2 C 0.3333 0.6667 0.7633 1
```

Which is the most stable structure? <a> is the most stable.

<a>
Mg5C after structural relaxation, computed with GGA-PBE.

Structure (CIF):
```
data_Mg5C
_cell_length_a 5.4645
_cell_length_b 5.4645
_cell_length_c 5.2990
_cell_angle_alpha 90.00
_cell_angle_beta 90.00
_cell_angle_gamma 120.00
_space_group_name_H-M_alt 'P 6/m m m'
_space_group_IT_number 191
_space_group_name_Hall '-P 6 2'
loop_
_atom_site_label
_atom_site_type_symbol
_atom_site_fract_x
_atom_site_fract_y
_atom_site_fract_z
_atom_site_occupancy
Mg1 Mg 0.0000 0.5000 0.0000 1
Mg2 Mg 0.3333 0.6667 0.5000 1
C1 C 0.0000 0.0000 0.5000 1
```

<b>
Mg5C after structural relaxation, computed with GGA-PBE.

Structure (CIF):
```
data_Mg5C
_cell_length_a 2.9766
_cell_length_b 2.9766
_cell_length_c 12.4893
_cell_angle_alpha 90.00
_cell_angle_beta 90.00
_cell_angle_gamma 90.00
_space_group_name_H-M_alt 'P 4/m m m'
_space_group_IT_number 123
_space_group_name_Hall '-P 4 2'
loop_
_atom_site_label
_atom_site_type_symbol
_atom_site_fract_x
_atom_site_fract_y
_atom_site_fract_z
_atom_site_occupancy
Mg1 Mg 0.0000 0.0000 0.0000 1
Mg2 Mg 0.0000 0.0000 0.3955 1
Mg3 Mg 0.5000 0.5000 0.1942 1
C1 C 0.5000 0.5000 0.5000 1
```

Which is the most stable structure? <b> is the most stable.

<a>
Mg5C after structural relaxation, computed with GGA-PBE.

Structure (CIF):
```
data_Mg5C
_cell_length_a 7.9964
_cell_length_b 7.9964
_cell_length_c 7.9964
_cell_angle_alpha 90.00
_cell_angle_beta 90.00
_cell_angle_gamma 90.00
_space_group_name_H-M_alt 'F -4 3 m'
_space_group_IT_number 216
_space_group_name_Hall 'F -4 2 3'
loop_
_atom_site_label
_atom_site_type_symbol
_atom_site_fract_x
_atom_site_fract_y
_atom_site_fract_z
_atom_site_occupancy
Mg1 Mg 0.0000 0.0000 0.0000 1
Mg2 Mg 0.1245 0.1245 0.6245 1
C1 C 0.2500 0.2500 0.2500 1
```

<b>
Mg5C after structural relaxation, computed with GGA-PBE.

Structure (CIF):
```
data_Mg5C
_cell_length_a 2.9887
_cell_length_b 21.9424
_cell_length_c 3.6592
_cell_angle_alpha 90.00
_cell_angle_beta 90.00
_cell_angle_gamma 90.00
_space_group_name_H-M_alt 'C m m m'
_space_group_IT_number 65
_space_group_name_Hall '-C 2 2'
loop_
_atom_site_label
_atom_site_type_symbol
_atom_site_fract_x
_atom_site_fract_y
_atom_site_fract_z
_atom_site_occupancy
Mg1 Mg 0.0000 0.0000 0.0000 1
Mg2 Mg 0.0000 0.0916 0.5000 1
Mg3 Mg 0.0000 0.3120 0.0000 1
C1 C 0.0000 0.5000 0.5000 1
```

<c>
Mg5C after structural relaxation, computed with GGA-PBE.

Structure (CIF):
```
data_Mg5C
_cell_length_a 6.9083
_cell_length_b 6.9083
_cell_length_c 3.1425
_cell_angle_alpha 90.00
_cell_angle_beta 90.00
_cell_angle_gamma 120.00
_space_group_name_H-M_alt 'P -6 2 m'
_space_group_IT_number 189
_space_group_name_Hall 'P -6 -2'
loop_
_atom_site_label
_atom_site_type_symbol
_atom_site_fract_x
_atom_site_fract_y
_atom_site_fract_z
_atom_site_occupancy
Mg1 Mg 0.0000 0.7654 0.0000 1
Mg2 Mg 0.3333 0.6667 0.5000 1
C1 C 0.0000 0.0000 0.5000 1
```

<d>
Mg5C after structural relaxation, computed with GGA-PBE.

Structure (CIF):
```
data_Mg5C
_cell_length_a 10.3890
_cell_length_b 3.1208
_cell_length_c 7.3425
_cell_angle_alpha 90.00
_cell_angle_beta 101.75
_cell_angle_gamma 90.00
_space_group_name_H-M_alt 'C 1 m 1'
_space_group_IT_number 8
_space_group_name_Hall 'C -2y'
loop_
_atom_site_label
_atom_site_type_symbol
_atom_site_fract_x
_atom_site_fract_y
_atom_site_fract_z
_atom_site_occupancy
Mg1 Mg 0.0000 0.0000 0.0000 1
Mg2 Mg 0.0807 0.0000 0.3955 1
Mg3 Mg 0.1966 0.5000 0.8080 1
Mg4 Mg 0.2836 0.0000 0.1918 1
Mg5 Mg 0.3961 0.0000 0.6247 1
C1 C 0.1236 0.5000 0.1749 1
```

Which is the most stable structure? <d> is the most stable.

<a>
Mg4C3 after structural relaxation, computed with GGA-PBE.

Structure (CIF):
```
data_Mg4C3
_cell_length_a 4.5824
_cell_length_b 4.5824
_cell_length_c 4.5824
_cell_angle_alpha 90.00
_cell_angle_beta 90.00
_cell_angle_gamma 90.00
_space_group_name_H-M_alt 'P m -3 m'
_space_group_IT_number 221
_space_group_name_Hall '-P 4 2 3'
loop_
_atom_site_label
_atom_site_type_symbol
_atom_site_fract_x
_atom_site_fract_y
_atom_site_fract_z
_atom_site_occupancy
Mg1 Mg 0.0000 0.0000 0.0000 1
Mg2 Mg 0.0000 0.5000 0.5000 1
C1 C 0.0000 0.0000 0.5000 1
```

<b>
Mg4C3 after structural relaxation, computed with GGA-PBE.

Structure (CIF):
```
data_Mg4C3
_cell_length_a 3.0374
_cell_length_b 3.0374
_cell_length_c 19.9624
_cell_angle_alpha 90.00
_cell_angle_beta 90.00
_cell_angle_gamma 90.00
_space_group_name_H-M_alt 'I 4/m m m'
_space_group_IT_number 139
_space_group_name_Hall '-I 4 2'
loop_
_atom_site_label
_atom_site_type_symbol
_atom_site_fract_x
_atom_site_fract_y
_atom_site_fract_z
_atom_site_occupancy
Mg1 Mg 0.0000 0.0000 0.0670 1
Mg2 Mg 0.0000 0.0000 0.3013 1
C1 C 0.0000 0.0000 0.1755 1
C2 C 0.0000 0.0000 0.5000 1
```

<c>
Mg4C3 after structural relaxation, computed with GGA-PBE.

Structure (CIF):
```
data_Mg4C3
_cell_length_a 5.1843
_cell_length_b 5.1843
_cell_length_c 5.1843
_cell_angle_alpha 90.00
_cell_angle_beta 90.00
_cell_angle_gamma 90.00
_space_group_name_H-M_alt 'P -4 3 m'
_space_group_IT_number 215
_space_group_name_Hall 'P -4 2 3'
loop_
_atom_site_label
_atom_site_type_symbol
_atom_site_fract_x
_atom_site_fract_y
_atom_site_fract_z
_atom_site_occupancy
Mg1 Mg 0.2175 0.2175 0.2175 1
C1 C 0.0000 0.0000 0.5000 1
```

Which is the most stable structure? <b> is the most stable.